No. 1
HoGeTe: optimized geometry, PBE.

Results
Energy   -4.33 eV per atom
Symmetry   No. 216

abc: 4.982 4.982 4.982
angles: 60.00 60.00 60.00
Element x y z (fractional)
Ho  0.000  0.000  0.000
Ge  0.500  0.500  0.500
Te  0.250  0.250  0.250

No. 2
SmOsPb2O6: optimized geometry, PBE.

Results
Energy   -6.84 eV per atom
Symmetry   No. 2

abc: 5.147 5.237 5.875
angles: 88.77 88.44 73.49
Element x y z (fractional)
Sm  0.000  0.000  0.000
Os  0.500  0.500  0.000
Pb  0.317  0.313  0.511
Pb  0.683  0.687  0.489
O  0.281  0.703  0.266
O  0.284  0.269  0.005
O  0.288  0.705  0.735
O  0.712  0.295  0.265
O  0.716  0.731  0.995
O  0.719  0.297  0.734

No. 3
Nd3Cd3AgPt2: optimized geometry, PBE.

Results
Energy   -4.26 eV per atom
Symmetry   No. 189

abc: 7.810 7.810 4.018
angles: 90.00 90.00 120.00
Element x y z (fractional)
Nd  0.000  0.417  0.000
Nd  0.417  0.000  0.000
Nd  0.583  0.583  0.000
Cd  0.000  0.745  0.500
Cd  0.255  0.255  0.500
Cd  0.745  0.000  0.500
Ag  0.000  0.000  0.000
Pt  0.333  0.667  0.500
Pt  0.667  0.333  0.500

No. 4
GdTlGeTe3: optimized geometry, PBE.

Results
Energy   -4.13 eV per atom
Symmetry   No. 63

abc: 7.923 7.923 11.808
angles: 90.00 90.00 145.81
Element x y z (fractional)
Gd  0.000  0.000  0.000
Gd  0.000  0.000  0.500
Tl  0.249  0.751  0.750
Tl  0.751  0.249  0.250
Ge  0.467  0.533  0.250
Ge  0.533  0.467  0.750
Te  0.078  0.922  0.250
Te  0.363  0.637  0.050
Te  0.363  0.637  0.450
Te  0.637  0.363  0.550
Te  0.637  0.363  0.950
Te  0.922  0.078  0.750

No. 5
AgAsPdO: optimized geometry, PBE.

Results
Energy   -4.40 eV per atom
Distance to the lowest polymorph of the same formula   0.164 eV per atom
Symmetry   No. 26

abc: 3.936 6.221 5.890
angles: 90.00 90.00 90.00
Element x y z (fractional)
Ag  0.000  0.147  0.000
Ag  0.000  0.853  0.500
As  0.500  0.351  0.829
As  0.500  0.649  0.329
Pd  0.500  0.271  0.422
Pd  0.500  0.729  0.922
O  0.000  0.203  0.394
O  0.000  0.797  0.894

No. 6
KNbSe2O8: optimized geometry, PBE.

Results
Energy   -5.99 eV per atom
Symmetry   No. 164

abc: 5.676 5.676 6.919
angles: 90.00 90.00 120.00
Element x y z (fractional)
K  0.000  0.000  0.000
Nb  0.000  0.000  0.500
Se  0.333  0.667  0.247
Se  0.667  0.333  0.753
O  0.157  0.315  0.319
O  0.157  0.843  0.319
O  0.315  0.157  0.681
O  0.333  0.667  0.010
O  0.667  0.333  0.990
O  0.685  0.843  0.319
O  0.843  0.157  0.681
O  0.843  0.685  0.681

Question: What is the energy in the fifth record?
Answer: -4.40 eV per atom

Question: Which formula does entry 4 have?
Answer: GdTlGeTe3